## P
{
  "formula": "AcMgAgAu",
  "functional": "PBE-GGA",
  "state": "optimized geometry",
  "lattice_angstrom": [[-2.7615, 0.3961, 3.9221], [4.4396, -1.8072, 0.3552], [-0.1867, 5.7954, -0.7167]],
  "species": ["Ac", "Mg", "Ag", "Au"],
  "frac_coords": [[0.6177, 0.2354, 0.4954], [0.1128, 0.2257, 0.9807], [0.8290, 0.6580, 0.1286], [0.4068, 0.8135, 0.8627]],
  "crystal_system": "monoclinic"
}

## Q
{
  "formula": "AcMgAgAu",
  "functional": "PBE-GGA",
  "state": "optimized geometry",
  "lattice_angstrom": [[-2.1650, -2.1055, 4.2771], [-0.5764, -5.1917, 0.3572], [2.9493, -2.7371, 3.3502]],
  "species": ["Ac", "Au", "Mg", "Ag"],
  "frac_coords": [[0.0000, 0.0000, 0.0000], [0.7500, 0.7500, 0.7500], [0.5000, 0.5000, 0.5000], [0.2500, 0.2500, 0.2500]],
  "crystal_system": "cubic"
}

The structure with the greatest stability is P.

## P
{
  "formula": "AcNdAgAu",
  "functional": "PBE-GGA",
  "state": "optimized geometry",
  "lattice_angstrom": [[-1.9329, -2.8819, 4.1740], [1.0580, -5.3123, 0.3515], [3.3838, -1.8464, 3.8216]],
  "species": ["Nd", "Ac", "Au", "Ag"],
  "frac_coords": [[0.5000, 0.5000, 0.5000], [0.0000, 0.0000, 0.0000], [0.7500, 0.7500, 0.7500], [0.2500, 0.2500, 0.2500]],
  "crystal_system": "cubic"
}

## Q
{
  "formula": "AcNdAgAu",
  "functional": "PBE-GGA",
  "state": "optimized geometry",
  "lattice_angstrom": [[-0.2272, 3.9905, 0.8615], [-4.7616, 0.0001, -1.2566], [-1.3283, -3.2569, 5.0329]],
  "species": ["Ac", "Nd", "Ag", "Au"],
  "frac_coords": [[0.1394, 0.0000, 0.2788], [0.8635, 0.5000, 0.7270], [0.4178, 0.0000, 0.8356], [0.5793, 0.5000, 0.1586]],
  "crystal_system": "orthorhombic"
}

The structure with the greatest stability is Q.

## P
{
  "formula": "AcAgPdAu",
  "functional": "PBE-GGA",
  "state": "optimized geometry",
  "lattice_angstrom": [[-1.9523, -2.9003, -3.1625], [1.6900, -1.7236, 4.0512], [-4.9552, 2.7892, 0.5011]],
  "species": ["Ac", "Ag", "Pd", "Au"],
  "frac_coords": [[0.6190, 0.2381, 0.4987], [0.1078, 0.2157, 0.9657], [0.4064, 0.8128, 0.8616], [0.8330, 0.6660, 0.1413]],
  "crystal_system": "monoclinic"
}

## Q
{
  "formula": "AcAgPdAu",
  "functional": "PBE-GGA",
  "state": "optimized geometry",
  "lattice_angstrom": [[5.1119, 0.0000, 0.0000], [2.5560, 4.4270, 0.0000], [2.5560, 1.4757, 4.1739]],
  "species": ["Ac", "Au", "Pd", "Ag"],
  "frac_coords": [[0.7500, 0.7500, 0.7500], [0.5000, 0.5000, 0.5000], [0.0000, 0.0000, 0.0000], [0.2500, 0.2500, 0.2500]],
  "crystal_system": "cubic"
}

The structure with the greatest stability is P.

## P
{
  "formula": "BaAcAg2",
  "functional": "PBE-GGA",
  "state": "optimized geometry",
  "lattice_angstrom": [[5.7019, 0.0000, 0.0000], [2.8509, 4.9380, 0.0000], [2.8509, 1.6460, 4.6556]],
  "species": ["Ac", "Ba", "Ag", "Ag"],
  "frac_coords": [[0.0000, 0.0000, 0.0000], [0.5000, 0.5000, 0.5000], [0.2500, 0.2500, 0.2500], [0.7500, 0.7500, 0.7500]],
  "crystal_system": "cubic"
}

## Q
{
  "formula": "BaAcAg2",
  "functional": "PBE-GGA",
  "state": "optimized geometry",
  "lattice_angstrom": [[-2.1645, 1.6362, 3.8604], [0.8459, -1.9817, 4.1979], [5.4628, 4.9062, 3.8672]],
  "species": ["Ac", "Ba", "Ag", "Ag"],
  "frac_coords": [[0.0000, 0.0000, 0.0000], [0.5000, 0.5000, 0.5000], [0.7434, 0.7434, 0.7697], [0.2566, 0.2566, 0.2303]],
  "crystal_system": "trigonal"
}

## R
{
  "formula": "BaAcAg2",
  "functional": "PBE-GGA",
  "state": "optimized geometry",
  "lattice_angstrom": [[-2.5746, 1.5458, 2.6945], [-2.4544, -3.1576, -0.5337], [3.8324, -3.9843, 5.9476]],
  "species": ["Ac", "Ba", "Ag", "Ag"],
  "frac_coords": [[0.5000, 0.5000, 0.0000], [0.5000, 0.5000, 0.5000], [0.0000, 0.0000, 0.7810], [0.0000, 0.0000, 0.2190]],
  "crystal_system": "tetragonal"
}

## S
{
  "formula": "BaAcAg2",
  "functional": "PBE-GGA",
  "state": "optimized geometry",
  "lattice_angstrom": [[-0.6347, 4.3711, -1.1994], [-3.5726, 2.3320, 1.6569], [3.1921, 4.6766, 6.6218]],
  "species": ["Ba", "Ac", "Ag", "Ag"],
  "frac_coords": [[0.4974, 0.4974, 0.5077], [0.6688, 0.6688, 0.9935], [0.0776, 0.0776, 0.7672], [0.2561, 0.2561, 0.2316]],
  "crystal_system": "trigonal"
}

The structure with the greatest stability is R.